Ho2ErIn3Ag2Au after structural relaxation, computed with PBE-GGA.

```
Ho2ErIn3Ag2Au
1.0
3.917 0.000 0.000
0.000 6.760 3.906
0.000 -6.760 3.906
Ag Au Er Ho In
2 1 1 2 3
Cartesian
1.958 2.247 3.905
1.958 -2.247 3.905
0.000 0.000 0.004
0.000 0.000 3.120
0.000 4.058 2.345
0.000 -4.058 2.345
1.958 1.797 1.039
1.958 -1.797 1.039
1.958 0.000 5.736
```

- Final energy: -35.45 eV per cell
- Magnetization: 0.0 μB/cell